LiLa3Sc3Se8 after structural relaxation, computed with PBE-GGA.

The structure in extended XYZ format:
```
15
Lattice="4.030 2.327 6.732 -4.030 2.327 6.732 0.000 -4.653 6.732" Properties=species:S:1:pos:R:3 pbc="T T T"
Li 0.000 0.000 0.000
La -4.030 0.000 10.098
La -2.015 1.163 3.366
La 2.015 1.163 3.366
Sc -2.015 -1.163 6.732
Sc -2.015 1.163 13.464
Sc 0.000 2.327 6.732
Se 0.000 -2.261 8.251
Se -1.958 1.131 8.251
Se 0.000 0.000 5.263
Se -1.958 -1.131 11.944
Se 1.958 1.131 8.251
Se 0.000 0.000 14.933
Se 1.958 -1.131 11.944
Se 0.000 2.261 11.944
```

**Uncorrected energy**: -6.001 eV/atom
**Symmetry**: No. 166
**Uncorrected formation energy**: -1763 meV per atom

=====

Dy4Fe28BC after structural relaxation, computed with PBE-GGA.

The structure in extended XYZ format:
```
68
Lattice="6.164 -6.175 0.000 6.164 6.175 0.000 0.000 0.000 11.835" Properties=species:S:1:pos:R:3 pbc="T T T"
Dy 6.164 4.398 0.000
Dy 6.164 3.211 5.918
Dy 3.293 0.000 0.000
Dy 4.392 0.000 5.918
Dy 7.937 0.000 5.918
Dy 9.036 0.000 0.000
Dy 6.164 -3.211 5.918
Dy 6.164 -4.398 0.000
Fe 0.000 0.000 4.646
Fe 0.000 0.000 7.189
Fe 3.082 3.087 0.000
Fe 3.082 3.087 5.918
Fe 2.434 1.982 2.083
Fe 2.434 1.982 9.753
Fe 2.090 1.290 4.493
Fe 2.090 1.290 7.342
Fe 1.199 0.000 2.423
Fe 1.199 0.000 9.412
Fe 4.173 2.442 3.857
Fe 4.173 2.442 7.978
Fe 6.164 3.921 3.031
Fe 6.164 3.921 8.805
Fe 4.873 2.109 1.504
Fe 4.873 2.109 10.331
Fe 2.090 -1.290 4.493
Fe 2.090 -1.290 7.342
Fe 3.896 0.000 2.927
Fe 3.896 0.000 8.909
Fe 2.434 -1.982 2.083
Fe 2.434 -1.982 9.753
Fe 6.164 1.198 3.557
Fe 6.164 1.198 8.278
Fe 7.456 2.109 1.504
Fe 7.456 2.109 10.331
Fe 8.156 2.442 3.857
Fe 8.156 2.442 7.978
Fe 3.082 -3.087 0.000
Fe 3.082 -3.087 5.918
Fe 6.164 0.000 1.373
Fe 6.164 0.000 10.462
Fe 4.173 -2.442 3.857
Fe 4.173 -2.442 7.978
Fe 4.873 -2.109 1.504
Fe 4.873 -2.109 10.331
Fe 6.164 -1.198 3.557
Fe 6.164 -1.198 8.278
Fe 9.895 1.982 2.083
Fe 9.895 1.982 9.753
Fe 8.433 0.000 2.927
Fe 8.433 0.000 8.909
Fe 10.239 1.290 4.493
Fe 10.239 1.290 7.342
Fe 7.456 -2.109 1.504
Fe 7.456 -2.109 10.331
Fe 6.164 -3.921 3.031
Fe 6.164 -3.921 8.805
Fe 8.156 -2.442 3.857
Fe 8.156 -2.442 7.978
Fe 11.130 0.000 2.423
Fe 11.130 0.000 9.412
Fe 10.239 -1.290 4.493
Fe 10.239 -1.290 7.342
Fe 9.895 -1.982 2.083
Fe 9.895 -1.982 9.753
B 6.164 1.544 0.000
B 6.164 -1.544 0.000
C 1.568 0.000 5.918
C 10.760 0.000 5.918
```

**ΔE_f**: -0.09 eV/atom
**Uncorrected energy**: -8.070 eV/atom
**Symmetry**: No. 65

=====

YSc2W after structural relaxation, computed with PBE-GGA.

The structure in extended XYZ format:
```
4
Lattice="-2.062 2.469 4.417 2.062 -2.469 4.417 2.062 2.469 -4.417" Properties=species:S:1:pos:R:3 pbc="T T T"
Y 0.000 0.000 0.000
Sc 2.062 0.000 2.411
Sc 0.000 2.469 2.006
W 0.000 0.000 4.417
```

**ΔE_f**: 0.33 eV/atom
**Energy above the most stable polymorph in this dataset**: 64 meV per atom
**Uncorrected energy**: -7.690 eV/atom
**Symmetry**: No. 71

=====

CuHg2W after structural relaxation, computed with PBE-GGA.

The structure in extended XYZ format:
```
4
Lattice="0.000 3.308 3.308 3.308 0.000 3.308 3.308 3.308 0.000" Properties=species:S:1:pos:R:3 pbc="T T T"
Cu 0.000 0.000 0.000
Hg 1.654 1.654 1.654
Hg 3.308 3.308 3.308
W 4.962 4.962 4.962
```

**ΔE_f**: 0.99 eV/atom
**Energy above the most stable polymorph in this dataset**: 481 meV per atom
**Uncorrected energy**: -3.423 eV/atom
**Symmetry**: No. 216

=====

CdWCl2 after structural relaxation, computed with PBE-GGA.

The structure in extended XYZ format:
```
4
Lattice="2.988 0.000 0.000 0.000 4.283 0.000 -0.015 0.000 5.906" Properties=species:S:1:pos:R:3 pbc="T T T"
Cd 0.000 0.000 0.000
W 1.487 0.000 2.953
Cl 1.479 2.141 4.308
Cl 1.495 2.141 1.598
```

**Energy above the most stable polymorph in this dataset**: 344 meV per atom
**Uncorrected energy**: -4.119 eV/atom
**Symmetry**: No. 10
**Uncorrected formation energy**: 271 meV per atom

=====

Tb2HfAl9 after structural relaxation, computed with PBE-GGA.

The structure in extended XYZ format:
```
12
Lattice="4.216 0.000 0.000 0.000 4.216 0.000 0.000 0.000 12.594" Properties=species:S:1:pos:R:3 pbc="T T T"
Tb 0.000 0.000 2.160
Tb 0.000 0.000 10.434
Hf 0.000 0.000 6.297
Al 0.000 2.108 0.000
Al 0.000 2.108 4.308
Al 0.000 2.108 8.286
Al 2.108 0.000 0.000
Al 2.108 0.000 4.308
Al 2.108 0.000 8.286
Al 2.108 2.108 2.130
Al 2.108 2.108 6.297
Al 2.108 2.108 10.464
```

**ΔE_f**: -0.40 eV/atom
**Uncorrected energy**: -4.810 eV/atom
**Symmetry**: No. 123

=====

Rb2SrBr2Cl2 after structural relaxation, computed with PBE-GGA.

The structure in extended XYZ format:
```
7
Lattice="-2.825 2.825 8.904 2.825 -2.825 8.904 2.825 2.825 -8.904" Properties=species:S:1:pos:R:3 pbc="T T T"
Rb 0.000 0.000 2.493
Rb 0.000 0.000 15.316
Sr 0.000 0.000 8.904
Br 0.000 0.000 5.873
Br 0.000 0.000 11.935
Cl 2.825 0.000 0.000
Cl 0.000 2.825 0.000
```

**Uncorrected energy**: -3.555 eV/atom
**Symmetry**: No. 139
**Uncorrected formation energy**: -2032 meV per atom

=====

LaHf2AlRu after structural relaxation, computed with PBE-GGA.

The structure in extended XYZ format:
```
5
Lattice="5.133 0.000 0.000 0.000 5.133 0.000 0.000 0.000 4.537" Properties=species:S:1:pos:R:3 pbc="T T T"
La 0.000 0.000 0.000
Hf 0.000 2.567 2.269
Hf 2.567 0.000 2.269
Al 2.567 2.567 2.269
Ru 2.567 2.567 0.000
```

**ΔE_f**: 0.53 eV/atom
**Uncorrected energy**: -7.040 eV/atom
**Symmetry**: No. 123

=====

AlTl2Bi after structural relaxation, computed with PBE-GGA.

The structure in extended XYZ format:
```
4
Lattice="1.702 0.983 11.676 -1.702 0.983 11.676 0.000 -1.965 11.676" Properties=species:S:1:pos:R:3 pbc="T T T"
Al 0.000 0.000 0.000
Tl 0.000 0.000 2.893
Tl 0.000 0.000 32.136
Bi 0.000 0.000 17.514
```

**ΔE_f**: 0.23 eV/atom
**Energy above the most stable polymorph in this dataset**: 22 meV per atom
**Uncorrected energy**: -2.855 eV/atom
**Symmetry**: No. 166